Record 1
Zn2Cd2InAu5: relaxed, GGA-PBE.

Calculated values
* theoretical density: 12638 kg/m³
* DFT formation energy: -0.1180 eV per atom
* space group: No. 127
* energy: -2.468 eV/atom
* magnetic moment: 0.00 μB per formula unit

Unit cell a=9.7220 b=9.7220 c=4.0460 alpha=90.00 beta=90.00 gamma=90.00
Atoms (fractional coordinates):
Zn 0.1239 0.3761 0.0000
Zn 0.3761 0.8761 0.0000
Zn 0.6239 0.1239 0.0000
Zn 0.8761 0.6239 0.0000
Cd 0.1712 0.6712 0.0000
Cd 0.3288 0.1712 0.0000
Cd 0.6712 0.8288 0.0000
Cd 0.8288 0.3288 0.0000
In 0.0000 0.0000 0.0000
In 0.5000 0.5000 0.0000
Au 0.0000 0.5000 0.5000
Au 0.0908 0.1948 0.5000
Au 0.1948 0.9092 0.5000
Au 0.3052 0.4092 0.5000
Au 0.4092 0.6948 0.5000
Au 0.5000 0.0000 0.5000
Au 0.5908 0.3052 0.5000
Au 0.6948 0.5908 0.5000
Au 0.8052 0.0908 0.5000
Au 0.9092 0.8052 0.5000

Record 2
ZnCd2InAu: relaxed, GGA-PBE.

Calculated values
* energy above the most stable polymorph in this dataset: 0.000 eV/f.u.
* theoretical density: 7158 kg/m³
* DFT formation energy: 0.1036 eV per atom
* space group: No. 123
* energy: -1.720 eV/atom
* magnetic moment: 0.00 μB per formula unit

Unit cell a=5.3126 b=5.3126 c=4.9479 alpha=90.00 beta=90.00 gamma=90.00
Atoms (fractional coordinates):
Zn 0.0000 0.0000 0.0000
Cd 0.0000 0.5000 0.5000
Cd 0.5000 0.0000 0.5000
In 0.5000 0.5000 0.0000
Au 0.0000 0.0000 0.5000

Record 3
ZrCdIn2Au: relaxed, GGA-PBE.

Calculated values
* theoretical density: 7214 kg/m³
* DFT formation energy: 0.7844 eV per atom
* space group: No. 123
* energy: -2.859 eV/atom
* magnetic moment: 0.00 μB per formula unit

Unit cell a=5.1514 b=5.1514 c=5.4667 alpha=90.00 beta=90.00 gamma=90.00
Atoms (fractional coordinates):
Zr 0.0000 0.0000 0.0000
Cd 0.0000 0.0000 0.5000
In 0.0000 0.5000 0.5000
In 0.5000 0.0000 0.5000
Au 0.5000 0.5000 0.0000

Record 4
CdIr2Au: relaxed, GGA-PBE.

Calculated values
* theoretical density: 17405 kg/m³
* DFT formation energy: 0.3735 eV per atom
* space group: No. 123
* energy: -5.105 eV/atom
* magnetic moment: 0.00 μB per formula unit

Unit cell a=4.0112 b=4.0112 c=4.1139 alpha=90.00 beta=90.00 gamma=90.00
Atoms (fractional coordinates):
Cd 0.0000 0.0000 0.0000
Ir 0.0000 0.5000 0.5000
Ir 0.5000 0.0000 0.5000
Au 0.5000 0.5000 0.0000

Record 5
CdIr2Au: relaxed, GGA-PBE.

Calculated values
* theoretical density: 17395 kg/m³
* DFT formation energy: 0.3550 eV per atom
* space group: No. 119
* energy: -5.124 eV/atom
* magnetic moment: 0.41 μB per formula unit

Unit cell a=4.8868 b=4.8868 c=4.8868 alpha=130.34 beta=130.34 gamma=72.87
Atoms (fractional coordinates):
Cd 0.0000 0.0000 0.0000
Ir 0.2500 0.7500 0.5000
Ir 0.5000 0.5000 0.0000
Au 0.7500 0.2500 0.5000

Record 6
CdIr2Au: relaxed, GGA-PBE.

Calculated values
* theoretical density: 17292 kg/m³
* DFT formation energy: 0.3709 eV per atom
* space group: No. 65
* energy: -5.108 eV/atom
* magnetic moment: 0.00 μB per formula unit

Unit cell a=2.8129 b=2.8129 c=9.6460 alpha=90.00 beta=90.00 gamma=119.20
Atoms (fractional coordinates):
Cd 0.0000 0.0000 0.0000
Ir 0.5000 0.5000 0.2500
Ir 0.5000 0.5000 0.7500
Au 0.0000 0.0000 0.5000

Record 7
Cd2IrAu2: relaxed, GGA-PBE.

Calculated values
* theoretical density: 13776 kg/m³
* DFT formation energy: 0.2519 eV per atom
* space group: No. 127
* energy: -3.197 eV/atom
* magnetic moment: 0.34 μB per formula unit

Unit cell a=7.0969 b=7.0969 c=3.8818 alpha=90.00 beta=90.00 gamma=90.00
Atoms (fractional coordinates):
Cd 0.1698 0.3302 0.0000
Cd 0.3302 0.8302 0.0000
Cd 0.6698 0.1698 0.0000
Cd 0.8302 0.6698 0.0000
Ir 0.0000 0.0000 0.5000
Ir 0.5000 0.5000 0.5000
Au 0.1369 0.6369 0.5000
Au 0.3631 0.1369 0.5000
Au 0.6369 0.8631 0.5000
Au 0.8631 0.3631 0.5000

Record 8
CdIrAu: relaxed, GGA-PBE.

Calculated values
* energy above the most stable polymorph in this dataset: 0.200 eV/f.u.
* theoretical density: 15945 kg/m³
* DFT formation energy: 0.2654 eV per atom
* space group: No. 44
* energy: -4.086 eV/atom
* magnetic moment: 0.00 μB per formula unit

Unit cell a=5.0755 b=5.0755 c=5.0755 alpha=146.96 beta=132.35 gamma=59.21
Atoms (fractional coordinates):
Cd 0.0000 0.0000 0.0000
Ir 0.6646 0.6646 0.0000
Au 0.3265 0.3265 0.0000

Record 9
CdIrAu: relaxed, GGA-PBE.

Calculated values
* energy above the most stable polymorph in this dataset: 0.896 eV/f.u.
* theoretical density: 13316 kg/m³
* DFT formation energy: 0.4974 eV per atom
* space group: No. 216
* energy: -3.854 eV/atom
* magnetic moment: 0.00 μB per formula unit

Unit cell a=4.4557 b=4.4557 c=4.4557 alpha=60.00 beta=60.00 gamma=60.00
Atoms (fractional coordinates):
Cd 0.0000 0.0000 0.0000
Ir 0.2500 0.2500 0.2500
Au 0.5000 0.5000 0.5000

Record 10
CdIr2Au: relaxed, GGA-PBE.

Calculated values
* theoretical density: 17355 kg/m³
* DFT formation energy: 0.4045 eV per atom
* space group: No. 139
* energy: -5.074 eV/atom
* magnetic moment: 0.00 μB per formula unit

Unit cell a=5.0099 b=5.0099 c=5.0099 alpha=132.83 beta=132.83 gamma=68.92
Atoms (fractional coordinates):
Cd 0.0000 0.0000 0.0000
Ir 0.2500 0.7500 0.5000
Ir 0.7500 0.2500 0.5000
Au 0.5000 0.5000 0.0000

Record 11
CdIrAu: relaxed, GGA-PBE.

Calculated values
* energy above the most stable polymorph in this dataset: 0.058 eV/f.u.
* theoretical density: 15966 kg/m³
* DFT formation energy: 0.2179 eV per atom
* space group: No. 107
* energy: -4.133 eV/atom
* magnetic moment: 0.00 μB per formula unit

Unit cell a=6.4625 b=6.4625 c=6.4625 alpha=153.90 beta=153.90 gamma=37.25
Atoms (fractional coordinates):
Cd 0.0000 0.0000 0.0000
Ir 0.3388 0.3388 0.0000
Au 0.6780 0.6780 0.0000

Record 12
CdIrAu4: relaxed, GGA-PBE.

Calculated values
* theoretical density: 15950 kg/m³
* DFT formation energy: 0.4021 eV per atom
* space group: No. 216
* energy: -3.412 eV/atom
* magnetic moment: 0.00 μB per formula unit

Unit cell a=5.4385 b=5.4385 c=5.4385 alpha=60.00 beta=60.00 gamma=60.00
Atoms (fractional coordinates):
Cd 0.0000 0.0000 0.0000
Ir 0.7500 0.7500 0.7500
Au 0.3752 0.3752 0.3752
Au 0.3752 0.3752 0.8745
Au 0.3752 0.8745 0.3752
Au 0.8745 0.3752 0.3752

Record 13
CdIrAu: relaxed, GGA-PBE.

Calculated values
* energy above the most stable polymorph in this dataset: 0.000 eV/f.u.
* theoretical density: 16108 kg/m³
* DFT formation energy: 0.1987 eV per atom
* space group: No. 156
* energy: -4.152 eV/atom
* magnetic moment: 0.00 μB per formula unit

Unit cell a=2.9157 b=2.9157 c=7.0233 alpha=90.00 beta=90.00 gamma=120.00
Atoms (fractional coordinates):
Cd 0.0000 0.0000 0.0000
Ir 0.6667 0.3333 0.3235
Au 0.3333 0.6667 0.6535

Record 14
CdIr3Au: relaxed, GGA-PBE.

Calculated values
* energy above the most stable polymorph in this dataset: 0.000 eV/f.u.
* theoretical density: 12538 kg/m³
* DFT formation energy: 2.0823 eV per atom
* space group: No. 221
* energy: -4.073 eV/atom
* magnetic moment: 2.84 μB per formula unit

Unit cell a=4.8957 b=4.8957 c=4.8957 alpha=90.00 beta=90.00 gamma=90.00
Atoms (fractional coordinates):
Cd 0.0000 0.0000 0.0000
Ir 0.0000 0.5000 0.5000
Ir 0.5000 0.0000 0.5000
Ir 0.5000 0.5000 0.0000
Au 0.5000 0.5000 0.5000

Record 15
Cd2Ir2Au: relaxed, GGA-PBE.

Calculated values
* theoretical density: 14089 kg/m³
* DFT formation energy: 0.2080 eV per atom
* space group: No. 127
* energy: -4.358 eV/atom
* magnetic moment: 0.00 μB per formula unit

Unit cell a=6.7413 b=6.7413 c=4.1818 alpha=90.00 beta=90.00 gamma=90.00
Atoms (fractional coordinates):
Cd 0.1726 0.3274 0.0000
Cd 0.3274 0.8274 0.0000
Cd 0.6726 0.1726 0.0000
Cd 0.8274 0.6726 0.0000
Ir 0.1283 0.6283 0.5000
Ir 0.3717 0.1283 0.5000
Ir 0.6283 0.8717 0.5000
Ir 0.8717 0.3717 0.5000
Au 0.0000 0.0000 0.5000
Au 0.5000 0.5000 0.5000

Record 16
CdIr2Au: relaxed, GGA-PBE.

Calculated values
* theoretical density: 17236 kg/m³
* DFT formation energy: 0.5142 eV per atom
* space group: No. 123
* energy: -4.964 eV/atom
* magnetic moment: 0.03 μB per formula unit

Unit cell a=3.3065 b=3.3065 c=6.1140 alpha=90.00 beta=90.00 gamma=90.00
Atoms (fractional coordinates):
Cd 0.0000 0.0000 0.0000
Ir 0.5000 0.5000 0.2606
Ir 0.5000 0.5000 0.7394
Au 0.0000 0.0000 0.5000

Record 17
CdIr4Au: relaxed, GGA-PBE.

Calculated values
* theoretical density: 17482 kg/m³
* DFT formation energy: 0.4566 eV per atom
* space group: No. 216
* energy: -6.150 eV/atom
* magnetic moment: 0.03 μB per formula unit

Unit cell a=5.2516 b=5.2516 c=5.2516 alpha=60.00 beta=60.00 gamma=60.00
Atoms (fractional coordinates):
Cd 0.0000 0.0000 0.0000
Ir 0.1248 0.6251 0.6251
Ir 0.6251 0.1248 0.6251
Ir 0.6251 0.6251 0.1248
Ir 0.6251 0.6251 0.6251
Au 0.2500 0.2500 0.2500

Record 18
CdIr2Au: relaxed, GGA-PBE.

Calculated values
* theoretical density: 17035 kg/m³
* DFT formation energy: 0.2881 eV per atom
* space group: No. 35
* energy: -5.190 eV/atom
* magnetic moment: 0.00 μB per formula unit

Unit cell a=2.8187 b=2.8187 c=9.8946 alpha=90.00 beta=90.00 gamma=120.65
Atoms (fractional coordinates):
Cd 0.0000 0.0000 0.0000
Ir 0.0000 0.0000 0.4787
Ir 0.5000 0.5000 0.2533
Au 0.5000 0.5000 0.7311

Record 19
CdIr2Au: relaxed, GGA-PBE.

Calculated values
* theoretical density: 17255 kg/m³
* DFT formation energy: 0.1055 eV per atom
* space group: No. 99
* energy: -5.373 eV/atom
* magnetic moment: 0.00 μB per formula unit

Unit cell a=2.8315 b=2.8315 c=8.3281 alpha=90.00 beta=90.00 gamma=90.00
Atoms (fractional coordinates):
Cd 0.0000 0.0000 0.0000
Ir 0.0000 0.0000 0.4687
Ir 0.5000 0.5000 0.2597
Au 0.5000 0.5000 0.7257

Record 20
CdIr2Au: relaxed, GGA-PBE.

Calculated values
* theoretical density: 17152 kg/m³
* DFT formation energy: 0.4444 eV per atom
* space group: No. 216
* energy: -5.034 eV/atom
* magnetic moment: 1.08 μB per formula unit

Unit cell a=4.5628 b=4.5628 c=4.5628 alpha=60.00 beta=60.00 gamma=60.00
Atoms (fractional coordinates):
Cd 0.0000 0.0000 0.0000
Ir 0.2500 0.2500 0.2500
Ir 0.5000 0.5000 0.5000
Au 0.7500 0.7500 0.7500